MoRu3 | the Alexandria database | meta-GGA SCAN | single point on PBEsol structure; distance to the lowest polymorph of the same formula = 0.065 eV/atom; total moment = 0.00 μB per formula unit; ΔE_f = 0.010 eV/atom
1.0
-0.246 0.688 4.630
4.108 -3.437 0.729
8.462 9.896 -1.021
Mo Ru
6 18
direct
0.005 0.000 0.000
0.337 0.500 0.162
0.995 0.500 0.500
0.663 0.000 0.338
0.337 0.500 0.838
0.663 0.000 0.662
0.501 0.751 0.000
0.165 0.252 0.335
0.996 0.500 0.000
0.499 0.749 0.500
0.338 0.000 0.834
0.165 0.748 0.335
0.165 0.252 0.665
0.662 0.500 0.334
0.835 0.752 0.835
0.835 0.752 0.165
0.499 0.251 0.500
0.165 0.748 0.665
0.662 0.500 0.666
0.338 0.000 0.166
0.501 0.249 0.000
0.835 0.248 0.165
0.835 0.248 0.835
0.004 0.000 0.500

=====

P2PbSe | the Alexandria database | meta-GGA SCAN | single point on PBEsol structure; distance to the lowest polymorph of the same formula = 0.363 eV/atom; total moment = 0.00 μB per formula unit; ΔE_f (raw) = 0.70 eV per atom
1.0
-0.329 3.384 -0.477
-3.615 0.076 3.033
3.102 0.820 3.677
P Pb Se
2 1 1
direct
0.000 0.000 0.000
0.500 0.000 0.500
0.500 0.500 0.000
0.000 0.500 0.500

=====

YTe2Mo | the Alexandria database | meta-GGA SCAN | single point on PBEsol structure; distance to the lowest polymorph of the same formula = 0.000 eV/atom; total moment = 0.00 μB per formula unit; ΔE_f (raw) = -0.41 eV per atom
1.0
-2.409 0.599 2.743
2.153 -1.926 2.311
3.370 5.798 1.694
Y Te Mo
1 2 1
direct
0.000 0.000 0.495
0.500 0.500 0.309
0.000 0.000 0.934
0.500 0.500 0.762

=====

Ca3TaP | the Alexandria database | meta-GGA SCAN | single point on PBEsol structure; total moment = 5.84 μB per formula unit; ΔE_f = 0.304 eV/atom
1.0
-2.868 -0.621 -4.520
-2.770 -4.006 2.308
-3.626 3.551 1.813
Ca Ta P
3 1 1
direct
0.000 0.500 0.000
0.500 0.000 0.000
0.000 0.000 0.500
0.500 0.500 0.500
0.000 0.000 0.000

=====

> Which formula does entry 3 have?

YTe2Mo